VASP calculation (PBE+U) on crystalline TcMoF at its relaxed geometry.

Computed properties:
Uncorrected energy in eV per atom: -6.639

POSCAR file:
```
TcMoF
1.0
2.8645 0.0000 0.0000
-1.4322 2.4807 0.0000
0.0000 0.0000 5.9995
Mo Tc F
1 1 1
Direct
0.6667 0.3333 0.9551
0.0000 0.0000 0.2921
0.0000 0.0000 0.6979
```